Na2MgSnBr6 | GGA-PBE | relaxed

Computed properties:
**Space-group type**: R3, No. 146
**DFT total energy**: -30.95 eV for the cell shown
**Uncorrected formation energy**: -1.2679 eV/atom
**N(E_F)**: 0.00 states/eV/cell

abc: 7.8345 7.8345 7.8345
angles: 55.97 55.97 55.97
With the nearest neighbours (Å) after each atom.
Sites, in units of the cell vectors:
Na: 0.0000 0.0000 0.0000  6 Br 2.95-3.05
Na: 0.4928 0.4928 0.4928  6 Br 2.97-3.08
Mg: 0.6919 0.6919 0.6919  6 Br 2.69-2.77
Sn: 0.1955 0.1955 0.1955  6 Br 2.95-3.09
Br: 0.0594 0.4376 0.7919  1 Mg 2.69, 1 Na 2.97
Br: 0.3166 0.9035 0.5916  1 Mg 2.77, 1 Sn 2.95, 2 Na 2.95-3.08
Br: 0.4376 0.7919 0.0594  1 Mg 2.69, 1 Na 2.97
Br: 0.5916 0.3166 0.9035  1 Mg 2.77, 1 Sn 2.95, 2 Na 2.95-3.08
Br: 0.7919 0.0594 0.4376  1 Mg 2.69, 1 Na 2.97
Br: 0.9035 0.5916 0.3166  1 Mg 2.77, 1 Sn 2.95, 2 Na 2.95-3.08

MoN | GGA-PBE | relaxed

Computed properties:
**Space-group type**: Pm-3m, No. 221
**DFT total energy**: -18.46 eV for the cell shown
**Uncorrected formation energy**: 0.3490 eV/atom
**N(E_F)**: 1.88 states/eV/cell

abc: 2.7055 2.7055 2.7055
angles: 90.00 90.00 90.00
With the nearest neighbours (Å) after each atom.
Sites, in units of the cell vectors:
Mo: 0.0000 0.0000 0.0000  8 N 2.34
N: 0.5000 0.5000 0.5000  8 Mo 2.34

K2RbBrF | GGA-PBE | relaxed

Computed properties:
**Space-group type**: P4/mmm, No. 123
**ΔE to the lowest computed polymorph**: 23.4 meV per atom
**DFT total energy**: -14.52 eV for the cell shown
**Uncorrected formation energy**: -1.5625 eV/atom
**N(E_F)**: 1.42 states/eV/cell

abc: 5.0925 5.0925 8.8783
angles: 90.00 90.00 90.00
With the nearest neighbours (Å) after each atom.
Sites, in units of the cell vectors:
K: 0.0000 0.5000 0.0000  2 F 2.55
K: 0.5000 0.0000 0.0000  2 F 2.55
Rb: 0.0000 0.0000 0.5000  4 Br 3.60
Br: 0.5000 0.5000 0.5000  4 Rb 3.60
F: 0.5000 0.5000 0.0000  4 K 2.55

Copy entry 3 word for word.
K2RbBrF | GGA-PBE | relaxed

Computed properties:
**Space-group type**: P4/mmm, No. 123
**ΔE to the lowest computed polymorph**: 23.4 meV per atom
**DFT total energy**: -14.52 eV for the cell shown
**Uncorrected formation energy**: -1.5625 eV/atom
**N(E_F)**: 1.42 states/eV/cell

abc: 5.0925 5.0925 8.8783
angles: 90.00 90.00 90.00
With the nearest neighbours (Å) after each atom.
Sites, in units of the cell vectors:
K: 0.0000 0.5000 0.0000  2 F 2.55
K: 0.5000 0.0000 0.0000  2 F 2.55
Rb: 0.0000 0.0000 0.5000  4 Br 3.60
Br: 0.5000 0.5000 0.5000  4 Rb 3.60
F: 0.5000 0.5000 0.0000  4 K 2.55